Ce12Ge6Ru: optimized geometry, PBE.

```
Ce12Ge6Ru
1.0
5.797 3.347 4.089
-5.797 3.347 4.089
0.000 -6.694 4.089
Ce Ge Ru
12 6 1
Direct
0.030 0.927 0.660
0.073 0.340 0.970
0.156 0.414 0.510
0.340 0.970 0.073
0.414 0.510 0.156
0.490 0.844 0.586
0.510 0.156 0.414
0.586 0.490 0.844
0.660 0.030 0.927
0.844 0.586 0.490
0.927 0.660 0.030
0.970 0.073 0.340
0.174 0.760 0.335
0.240 0.665 0.826
0.335 0.174 0.760
0.665 0.826 0.240
0.760 0.335 0.174
0.826 0.240 0.665
0.500 0.500 0.500
```

D(E_F): 48.5 states/eV per cell
formation energy: -0.441 eV/atom

Sm8AlBi2: optimized geometry, PBE.

```
Sm8AlBi2
1.0
9.883 -2.631 0.000
9.883 2.631 0.000
-1.576 0.000 6.671
Sm Al Bi
8 1 2
Direct
0.014 0.014 0.273
0.217 0.217 0.835
0.345 0.345 0.474
0.411 0.411 0.020
0.589 0.589 0.980
0.655 0.655 0.526
0.783 0.783 0.165
0.986 0.986 0.727
0.500 0.500 0.500
0.178 0.178 0.273
0.822 0.822 0.727
```

D(E_F): 12.8 states/eV per cell
formation energy: -0.306 eV/atom

SmPaBiAu: optimized geometry, PBE.

```
SmPaBiAu
1.0
7.571 0.000 0.000
0.000 7.571 0.000
0.000 0.000 7.571
Sm Pa Bi Au
4 4 4 4
Direct
0.000 0.000 0.000
0.000 0.500 0.500
0.500 0.000 0.500
0.500 0.500 0.000
0.000 0.000 0.500
0.000 0.500 0.000
0.500 0.000 0.000
0.500 0.500 0.500
0.250 0.250 0.250
0.250 0.750 0.750
0.750 0.250 0.750
0.750 0.750 0.250
0.250 0.250 0.750
0.250 0.750 0.250
0.750 0.250 0.250
0.750 0.750 0.750
```

D(E_F): 35.9 states/eV per cell
formation energy: -0.295 eV/atom

Rb2CdF: optimized geometry, PBE.

```
Rb2CdF
1.0
4.119 0.000 0.000
-2.060 3.568 0.000
0.000 0.000 28.580
Rb Cd F
6 3 3
Direct
0.000 0.000 0.225
0.000 0.000 0.775
0.333 0.667 0.442
0.333 0.667 0.891
0.667 0.333 0.109
0.667 0.333 0.558
0.000 0.000 0.000
0.333 0.667 0.667
0.667 0.333 0.333
0.000 0.000 0.500
0.333 0.667 0.167
0.667 0.333 0.833
```

relative energy among the computed polymorphs: 0 meV per atom
D(E_F): 4.7 states/eV per cell
uncorrected formation energy: -1240 meV/atom

Hf3ZrO: optimized geometry, PBE.

```
Hf3ZrO
1.0
5.103 0.000 0.000
0.000 5.103 0.000
0.000 0.000 5.103
Hf Zr O
3 1 1
Direct
0.000 0.000 0.500
0.000 0.500 0.000
0.500 0.000 0.000
0.000 0.000 0.000
0.500 0.500 0.500
```

relative energy among the computed polymorphs: 2700 meV per atom
D(E_F): 7.8 states/eV per cell
uncorrected formation energy: 1636 meV/atom

BeFeAs: optimized geometry, PBE.

```
BeFeAs
1.0
3.043 0.000 0.000
0.000 3.043 0.000
0.000 0.000 7.215
Be Fe As
2 2 2
Direct
0.000 0.000 0.000
0.500 0.500 0.500
0.000 0.000 0.661
0.500 0.500 0.161
0.000 0.000 0.326
0.500 0.500 0.826
```

relative energy among the computed polymorphs: 0 meV per atom
D(E_F): 1.8 states/eV per cell
formation energy: -0.097 eV/atom

ZrHgIO2: optimized geometry, PBE.

```
ZrHgIO2
1.0
4.310 0.000 0.000
0.000 4.310 0.000
0.000 0.000 5.677
Zr Hg I O
1 1 1 2
Direct
0.000 0.000 0.000
0.500 0.500 0.500
0.500 0.500 0.000
0.000 0.500 0.500
0.500 0.000 0.500
```

relative energy among the computed polymorphs: 1846 meV per atom
D(E_F): 3.7 states/eV per cell
uncorrected formation energy: 397 meV/atom

CoTe2As: optimized geometry, PBE.

```
CoTe2As
1.0
3.835 0.000 0.000
0.000 3.835 0.000
0.000 0.000 16.026
Co Te As
2 4 2
Direct
0.000 0.000 0.000
0.500 0.500 0.500
0.000 0.000 0.500
0.000 0.500 0.750
0.500 0.000 0.250
0.500 0.500 0.000
0.000 0.500 0.250
0.500 0.000 0.750
```

D(E_F): 8.0 states/eV per cell
uncorrected formation energy: 605 meV/atom

What is the D(E_F) in the eighth record? 8.0 states/eV per cell

The lowest D(E_F) belongs to which entry? BeFeAs

Which value of D(E_F) does entry 1 give? 48.5 states/eV per cell